{"formula": "AcNpSb2", "functional": "GGA-PBE", "state": "relaxed", "raw_formation_energy_ev_per_atom": -0.67, "total_magnetization_mub_per_cell": 11.817, "spacegroup": "R-3m (166)", "energy_ev_per_cell": -83.91, "lattice": [[4.625, 0.000, 0.000], [-2.313, 4.006, 0.000], [0.000, 0.000, 22.355]], "species": ["Ac", "Ac", "Ac", "Np", "Np", "Np", "Sb", "Sb", "Sb", "Sb", "Sb", "Sb"], "frac_coords": [[0.000, 0.000, 0.000], [0.333, 0.667, 0.667], [0.667, 0.333, 0.333], [0.000, 0.000, 0.500], [0.333, 0.667, 0.167], [0.667, 0.333, 0.833], [0.000, 0.000, 0.241], [0.000, 0.000, 0.759], [0.333, 0.667, 0.425], [0.333, 0.667, 0.908], [0.667, 0.333, 0.092], [0.667, 0.333, 0.575]]}

=====

{"formula": "Ac2NpSb", "functional": "GGA-PBE", "state": "relaxed", "raw_formation_energy_ev_per_atom": -0.07, "total_magnetization_mub_per_cell": 5.610, "spacegroup": "P4/mmm (123)", "energy_ev_per_cell": -25.55, "lattice": [[5.267, 0.000, 0.000], [0.000, 5.267, 0.000], [0.000, 0.000, 4.768]], "species": ["Ac", "Ac", "Np", "Sb"], "frac_coords": [[0.000, 0.500, 0.000], [0.500, 0.000, 0.000], [0.000, 0.000, 0.500], [0.500, 0.500, 0.500]]}

=====

{"formula": "AcNpSb2", "functional": "GGA-PBE", "state": "relaxed", "raw_formation_energy_ev_per_atom": -0.45, "total_magnetization_mub_per_cell": 16.584, "spacegroup": "Fm-3m (225)", "energy_ev_per_cell": -108.31, "lattice": [[7.876, 0.000, 0.000], [0.000, 7.876, 0.000], [0.000, 0.000, 7.876]], "species": ["Ac", "Ac", "Ac", "Ac", "Np", "Np", "Np", "Np", "Sb", "Sb", "Sb", "Sb", "Sb", "Sb", "Sb", "Sb"], "frac_coords": [[0.000, 0.000, 0.000], [0.000, 0.500, 0.500], [0.500, 0.000, 0.500], [0.500, 0.500, 0.000], [0.000, 0.000, 0.500], [0.000, 0.500, 0.000], [0.500, 0.000, 0.000], [0.500, 0.500, 0.500], [0.250, 0.250, 0.250], [0.250, 0.250, 0.750], [0.250, 0.750, 0.250], [0.250, 0.750, 0.750], [0.750, 0.250, 0.250], [0.750, 0.250, 0.750], [0.750, 0.750, 0.250], [0.750, 0.750, 0.750]]}

=====

{"formula": "Ac2NpSb", "functional": "GGA-PBE", "state": "relaxed", "raw_formation_energy_ev_per_atom": 0.40, "total_magnetization_mub_per_cell": 15.407, "spacegroup": "R-3m (166)", "energy_ev_per_cell": -70.99, "lattice": [[3.649, 0.000, 0.000], [-1.825, 3.160, 0.000], [0.000, 0.000, 37.546]], "species": ["Ac", "Ac", "Ac", "Ac", "Ac", "Ac", "Np", "Np", "Np", "Sb", "Sb", "Sb"], "frac_coords": [[0.000, 0.000, 0.093], [0.000, 0.000, 0.907], [0.333, 0.667, 0.573], [0.333, 0.667, 0.760], [0.667, 0.333, 0.240], [0.667, 0.333, 0.427], [0.000, 0.000, 0.000], [0.333, 0.667, 0.667], [0.667, 0.333, 0.333], [0.000, 0.000, 0.500], [0.333, 0.667, 0.167], [0.667, 0.333, 0.833]]}

=====

{"formula": "AcNpSb", "functional": "GGA-PBE", "state": "relaxed", "raw_formation_energy_ev_per_atom": -0.11, "total_magnetization_mub_per_cell": 10.646, "spacegroup": "I4mm (107)", "energy_ev_per_cell": -43.00, "lattice": [[4.131, 0.000, 0.000], [0.000, 4.131, 0.000], [0.000, 0.000, 11.090]], "species": ["Ac", "Ac", "Np", "Np", "Sb", "Sb"], "frac_coords": [[0.000, 0.000, 0.000], [0.500, 0.500, 0.500], [0.000, 0.000, 0.703], [0.500, 0.500, 0.203], [0.000, 0.000, 0.325], [0.500, 0.500, 0.825]]}

=====

{"formula": "AcNpSbTe", "functional": "GGA-PBE", "state": "relaxed", "raw_formation_energy_ev_per_atom": -0.68, "total_magnetization_mub_per_cell": 19.626, "spacegroup": "F-43m (216)", "energy_ev_per_cell": -108.10, "lattice": [[7.894, 0.000, 0.000], [0.000, 7.894, 0.000], [0.000, 0.000, 7.894]], "species": ["Ac", "Ac", "Ac", "Ac", "Np", "Np", "Np", "Np", "Sb", "Sb", "Sb", "Sb", "Te", "Te", "Te", "Te"], "frac_coords": [[0.000, 0.000, 0.000], [0.000, 0.500, 0.500], [0.500, 0.000, 0.500], [0.500, 0.500, 0.000], [0.000, 0.000, 0.500], [0.000, 0.500, 0.000], [0.500, 0.000, 0.000], [0.500, 0.500, 0.500], [0.250, 0.250, 0.750], [0.250, 0.750, 0.250], [0.750, 0.250, 0.250], [0.750, 0.750, 0.750], [0.250, 0.250, 0.250], [0.250, 0.750, 0.750], [0.750, 0.250, 0.750], [0.750, 0.750, 0.250]]}

=====

{"formula": "AcNp2Se8", "functional": "GGA-PBE", "state": "relaxed", "raw_formation_energy_ev_per_atom": -0.94, "total_magnetization_mub_per_cell": 3.879, "spacegroup": "C2/m (12)", "energy_ev_per_cell": -68.18, "lattice": [[4.204, -6.330, 0.000], [4.204, 6.330, 0.000], [-0.704, 0.000, 5.283]], "species": ["Ac", "Np", "Np", "Se", "Se", "Se", "Se", "Se", "Se", "Se", "Se"], "frac_coords": [[0.000, 0.000, 0.000], [0.303, 0.697, 0.500], [0.697, 0.303, 0.500], [0.082, 0.320, 0.566], [0.252, 0.748, 0.000], [0.320, 0.082, 0.566], [0.417, 0.417, 0.176], [0.583, 0.583, 0.824], [0.680, 0.918, 0.434], [0.748, 0.252, 0.000], [0.918, 0.680, 0.434]]}

=====

{"formula": "AcNp2Se4", "functional": "GGA-PBE", "state": "relaxed", "raw_formation_energy_ev_per_atom": -1.41, "total_magnetization_mub_per_cell": 17.586, "spacegroup": "Cmcm (63)", "energy_ev_per_cell": -107.61, "lattice": [[2.103, -6.782, 0.000], [2.103, 6.782, 0.000], [0.000, 0.000, 14.002]], "species": ["Ac", "Ac", "Np", "Np", "Np", "Np", "Se", "Se", "Se", "Se", "Se", "Se", "Se", "Se"], "frac_coords": [[0.116, 0.884, 0.750], [0.884, 0.116, 0.250], [0.368, 0.632, 0.561], [0.368, 0.632, 0.939], [0.632, 0.368, 0.061], [0.632, 0.368, 0.439], [0.000, 0.000, 0.000], [0.000, 0.000, 0.500], [0.268, 0.732, 0.121], [0.268, 0.732, 0.379], [0.449, 0.551, 0.750], [0.551, 0.449, 0.250], [0.732, 0.268, 0.621], [0.732, 0.268, 0.879]]}

=====

{"formula": "Ac2NpSe4", "functional": "GGA-PBE", "state": "relaxed", "raw_formation_energy_ev_per_atom": -1.60, "total_magnetization_mub_per_cell": 8.977, "spacegroup": "Cmcm (63)", "energy_ev_per_cell": -92.59, "lattice": [[2.120, -7.353, 0.000], [2.120, 7.353, 0.000], [0.000, 0.000, 14.371]], "species": ["Ac", "Ac", "Ac", "Ac", "Np", "Np", "Se", "Se", "Se", "Se", "Se", "Se", "Se", "Se"], "frac_coords": [[0.132, 0.868, 0.575], [0.132, 0.868, 0.925], [0.868, 0.132, 0.075], [0.868, 0.132, 0.425], [0.374, 0.626, 0.750], [0.626, 0.374, 0.250], [0.014, 0.986, 0.750], [0.220, 0.780, 0.128], [0.220, 0.780, 0.372], [0.500, 0.500, 0.000], [0.500, 0.500, 0.500], [0.780, 0.220, 0.628], [0.780, 0.220, 0.872], [0.986, 0.014, 0.250]]}

=====

{"formula": "Ac2NpSe6", "functional": "GGA-PBE", "state": "relaxed", "raw_formation_energy_ev_per_atom": -1.43, "total_magnetization_mub_per_cell": 2.025, "spacegroup": "P-62m (189)", "energy_ev_per_cell": -54.93, "lattice": [[8.090, 0.000, 0.000], [-4.045, 7.006, 0.000], [0.000, 0.000, 4.239]], "species": ["Ac", "Ac", "Np", "Se", "Se", "Se", "Se", "Se", "Se"], "frac_coords": [[0.333, 0.667, 0.000], [0.667, 0.333, 0.000], [0.000, 0.000, 0.500], [0.000, 0.400, 0.500], [0.000, 0.762, 0.000], [0.238, 0.238, 0.000], [0.400, 0.000, 0.500], [0.600, 0.600, 0.500], [0.762, 0.000, 0.000]]}

=====

{"formula": "AcNpTe2Se", "functional": "GGA-PBE", "state": "relaxed", "raw_formation_energy_ev_per_atom": -1.14, "total_magnetization_mub_per_cell": 9.022, "spacegroup": "P4/nmm (129)", "energy_ev_per_cell": -65.01, "lattice": [[4.521, 0.000, 0.000], [0.000, 4.521, 0.000], [0.000, 0.000, 16.005]], "species": ["Ac", "Ac", "Np", "Np", "Te", "Te", "Te", "Te", "Se", "Se"], "frac_coords": [[0.250, 0.250, 0.135], [0.750, 0.750, 0.865], [0.250, 0.250, 0.593], [0.750, 0.750, 0.407], [0.250, 0.250, 0.396], [0.250, 0.250, 0.787], [0.750, 0.750, 0.213], [0.750, 0.750, 0.604], [0.250, 0.750, 0.000], [0.750, 0.250, 0.000]]}

=====

{"formula": "AcNpTeSe2", "functional": "GGA-PBE", "state": "relaxed", "raw_formation_energy_ev_per_atom": -1.10, "total_magnetization_mub_per_cell": 8.000, "spacegroup": "I4mm (107)", "energy_ev_per_cell": -65.34, "lattice": [[4.725, 0.000, 0.000], [0.000, 4.725, 0.000], [0.000, 0.000, 14.440]], "species": ["Ac", "Ac", "Np", "Np", "Te", "Te", "Se", "Se", "Se", "Se"], "frac_coords": [[0.000, 0.000, 0.000], [0.500, 0.500, 0.500], [0.000, 0.000, 0.738], [0.500, 0.500, 0.238], [0.000, 0.000, 0.375], [0.500, 0.500, 0.875], [0.000, 0.500, 0.132], [0.000, 0.500, 0.632], [0.500, 0.000, 0.132], [0.500, 0.000, 0.632]]}